Below is a geometry-optimized Ca2PaCrO6 structure, with properties calculated at the PBE+U level.

```
Ca2PaCrO6
1.0
-3.1245 -3.4327 -3.1902
0.8830 -4.3132 3.7762
-6.5451 2.2944 4.1512
Pa O Ca Cr
2 12 4 2
Cartesian
-2.8310 -1.0094 3.9637
-1.5623 -1.7163 -1.5951
-3.3776 -0.5524 1.9077
-5.2289 -3.7845 5.4449
-3.2448 -3.1015 3.5347
-3.8879 -4.8443 0.1950
-3.5577 -1.6670 -0.7077
-0.6690 -3.8666 1.9434
-8.0076 -4.0225 4.3233
-4.8987 -0.6072 4.5422
-0.7790 -1.4289 0.4140
-8.1176 -1.5849 2.7938
-5.5418 -2.3499 1.2025
-5.4090 -4.8990 2.8296
-6.0234 -2.4321 3.5388
-7.9497 -1.8712 0.1754
-0.8370 -3.5803 4.5618
-2.7632 -3.0193 1.1984
-4.8348 -0.5691 0.4805
0.4415 -2.1566 1.8881
```

Computed properties:
magnetization	6.0	μB per cell
uncorrected energy	-161.2	eV per cell